# PBE Zn2SiW, optimized geometry
# space group: P4/mmm, No. 123
# N(E_F): 2.4 states/eV/f.u.
# formation energy from raw total energies: 0.35 eV per atom
data_Zn2SiW
_chemical_formula_sum 'Zn2 Si1 W1'
_cell_length_a 2.6794
_cell_length_b 2.6794
_cell_length_c 8.5865
_cell_angle_alpha 90.00
_cell_angle_beta 90.00
_cell_angle_gamma 90.00
_symmetry_space_group_name_H-M 'P 1'
_symmetry_Int_Tables_number 1
loop_
_symmetry_equiv_pos_as_xyz
'x,y,z'
loop_
_atom_site_label
_atom_site_type_symbol
_atom_site_fract_x
_atom_site_fract_y
_atom_site_fract_z
_atom_site_occupancy
Si1 Si 0.5000 0.5000 0.2500 1
W1 W 0.5000 0.5000 0.7500 1
Zn1 Zn 0.0000 0.0000 0.9915 1
Zn2 Zn 0.0000 0.0000 0.5085 1